(1)
Material: CaSn6Pd12
Method: DFT, GGA-PBE
State: relaxed

## Properties
Calculated formation energy: -0.447 eV per atom
Space-group type: R-3m

```
CaSn6Pd12
1.0
-4.230 3.081 -5.477
-4.881 -2.624 5.165
3.630 5.765 3.313
Sn Ca Pd
6 1 12
direct
0.276 0.276 0.702
0.724 0.298 0.724
0.276 0.702 0.276
0.724 0.724 0.298
0.702 0.276 0.276
0.298 0.724 0.724
0.000 0.000 0.000
0.615 0.863 0.615
0.863 0.615 0.615
0.137 0.385 0.385
0.385 0.137 0.385
0.883 0.500 0.117
0.500 0.117 0.883
0.615 0.615 0.863
0.117 0.500 0.883
0.500 0.883 0.117
0.883 0.117 0.500
0.385 0.385 0.137
0.117 0.883 0.500
```

=====

(2)
Material: Ca2Sn6Pd
Method: DFT, GGA-PBE
State: relaxed

## Properties
Calculated formation energy: -0.423 eV per atom
Space-group type: Amm2

```
Ca2Sn6Pd
1.0
-3.953 0.325 -2.105
2.060 -0.612 -3.963
0.434 -12.141 2.099
Ca Sn Pd
2 6 1
direct
0.992 0.000 0.984
0.331 0.000 0.663
0.216 0.500 0.431
0.461 0.500 0.922
0.886 0.500 0.771
0.716 0.000 0.432
0.094 0.500 0.189
0.595 0.000 0.191
0.778 0.500 0.555
```

=====

(3)
Material: CaSn2Pd7
Method: DFT, GGA-PBE
State: relaxed

## Properties
Calculated formation energy: -0.162 eV per atom
Space-group type: Cmmm

```
CaSn2Pd7
1.0
4.535 0.000 0.000
0.000 7.606 -0.409
0.000 -3.722 6.645
Ca Pd Sn
1 7 2
direct
0.000 0.000 0.000
0.500 0.500 0.500
0.000 0.205 0.795
0.000 0.795 0.205
0.500 0.706 0.928
0.500 0.928 0.706
0.500 0.072 0.294
0.500 0.294 0.072
0.500 0.300 0.700
0.500 0.700 0.300
```

=====

(4)
Material: CaSn3Pd7
Method: DFT, GGA-PBE
State: relaxed

## Properties
Calculated formation energy: -0.444 eV per atom
Space-group type: C2/m

```
CaSn3Pd7
1.0
-4.839 -0.655 -2.691
3.850 -4.527 -2.554
-1.026 -2.725 5.776
Sn Pd Ca
3 7 1
direct
0.500 0.000 0.000
0.000 0.768 0.232
0.000 0.232 0.768
0.000 0.500 0.500
0.314 0.045 0.595
0.686 0.955 0.405
0.959 0.818 0.818
0.314 0.595 0.045
0.041 0.182 0.182
0.686 0.405 0.955
0.500 0.500 0.500
```

=====

(5)
Material: Ca3Sn4Pd
Method: DFT, GGA-PBE
State: relaxed

## Properties
Calculated formation energy: -0.486 eV per atom
Space-group type: Immm

```
Ca3Sn4Pd
1.0
-1.906 2.179 2.290
-8.042 -3.710 -3.166
5.272 -3.781 5.010
Sn Ca Pd
4 3 1
direct
0.614 0.367 0.227
0.614 0.860 0.227
0.386 0.633 0.773
0.386 0.140 0.773
0.795 0.795 0.591
0.205 0.205 0.409
0.000 0.500 0.000
0.500 0.000 0.000
```

=====

(6)
Material: CaSnPd4
Method: DFT, GGA-PBE
State: relaxed

## Properties
Calculated formation energy: -0.514 eV per atom
Space-group type: C2/m

```
CaSnPd4
1.0
3.616 0.000 1.046
2.026 4.729 -0.230
0.040 -1.668 6.636
Ca Sn Pd
1 1 4
direct
0.500 0.500 0.500
0.000 0.000 0.000
0.642 0.029 0.687
0.358 0.971 0.313
0.191 0.468 0.149
0.809 0.532 0.851
```